Compound: Ba2NdAg
Source: the Alexandria database
Functional: PBE-GGA
Structure: optimized geometry

abc: 4.032 4.032 10.056
angles: 90.00 90.00 90.00
Space group P4/mmm (No. 123)
Inequivalent atoms, fractional coordinates:
1 Ba 0.000 0.000 0.205
2 Nd 0.500 0.500 0.500
3 Ag 0.500 0.500 0.000

**Offset from the most stable computed form**: 0.00 eV/f.u.

Compound: BaNdAg2
Source: the Alexandria database
Functional: PBE-GGA
Structure: optimized geometry

abc: 5.600 5.600 3.831
angles: 90.00 90.00 90.00
Space group P4/mmm (No. 123)
Inequivalent atoms, fractional coordinates:
1 Ba 0.000 0.000 0.000
2 Nd 0.500 0.500 0.000
3 Ag 0.000 0.500 0.500

**Offset from the most stable computed form**: 0.24 eV/f.u.

Compound: BaNdAgPb
Source: the Alexandria database
Functional: PBE-GGA
Structure: optimized geometry

abc: 8.068 8.068 8.068
angles: 90.00 90.00 90.00
Space group F-43m (No. 216)
Inequivalent atoms, fractional coordinates:
1 Ba 0.000 0.000 0.000
2 Nd 0.000 0.000 0.500
3 Ag 0.250 0.250 0.250
4 Pb 0.250 0.250 0.750

Compound: BaNdAgPd
Source: the Alexandria database
Functional: PBE-GGA
Structure: optimized geometry

abc: 7.662 7.662 7.662
angles: 90.00 90.00 90.00
Space group F-43m (No. 216)
Inequivalent atoms, fractional coordinates:
1 Ba 0.000 0.000 0.000
2 Nd 0.000 0.000 0.500
3 Ag 0.250 0.250 0.250
4 Pd 0.250 0.250 0.750

| no. | formation enthalpy at 0 K (eV/atom) |
| --- | --- |
| 1 | 0.03 |
| 2 | -0.17 |
| 3 | -0.35 |
| 4 | -0.30 |